(1)
An optimized crystal structure of NiB2I, computed with GGA-PBEsol.

The structure belongs to space group I4_1/amd (No. 141, origin choice 2); the cell edges are 3.837, 3.837 and 14.252 Å and the angles 90.00°, 90.00° and 90.00°. The distinct sites, in fractional coordinates, are Ni at (0.000, 0.250, 0.375), B at (0.000, 0.000, 0.500) and I at (0.000, 0.250, 0.875).

For the raw total energy, the calculation gives -4.715 eV per atom. For the formation energy from raw total energies, the calculation gives 774 meV/atom. Its crystal system is tetragonal.

(2)
An optimized crystal structure of NiB2I, computed with GGA-PBEsol.

The structure belongs to space group Fm-3m (No. 225); the cell edges are 5.824, 5.824 and 5.824 Å and the angles 90.00°, 90.00° and 90.00°. The distinct sites, in fractional coordinates, are Ni at (0.000, 0.000, 0.000), B at (0.250, 0.250, 0.250) and I at (0.000, 0.000, 0.500).

For the raw total energy, the calculation gives -3.607 eV per atom. For the formation energy from raw total energies, the calculation gives 1882 meV/atom. Its crystal system is cubic.

(3)
An optimized crystal structure of NiB2PI, computed with GGA-PBEsol.

The structure belongs to space group P4/mmm (No. 123); the cell edges are 3.876, 3.876 and 5.035 Å and the angles 90.00°, 90.00° and 90.00°. The distinct sites, in fractional coordinates, are Ni at (0.000, 0.000, 0.000), B at (0.000, 0.500, 0.000), P at (0.000, 0.000, 0.500) and I at (0.500, 0.500, 0.500).

For the raw total energy, the calculation gives -4.584 eV per atom. For the formation energy from raw total energies, the calculation gives 965 meV/atom. Its crystal system is tetragonal.

(4)
An optimized crystal structure of NiBSb2I, computed with GGA-PBEsol.

The structure belongs to space group P4/mmm (No. 123); the cell edges are 4.669, 4.669 and 4.843 Å and the angles 90.00°, 90.00° and 90.00°. The distinct sites, in fractional coordinates, are Ni at (0.000, 0.000, 0.000), B at (0.500, 0.500, 0.500), Sb at (0.000, 0.500, 0.500) and I at (0.500, 0.500, 0.000).

For the raw total energy, the calculation gives -3.702 eV per atom. For the formation energy from raw total energies, the calculation gives 1109 meV/atom. Its crystal system is tetragonal.

(5)
An optimized crystal structure of BPbI2O, computed with GGA-PBEsol.

The structure belongs to space group P4/mmm (No. 123); the cell edges are 6.521, 6.521 and 2.922 Å and the angles 90.00°, 90.00° and 90.00°. The distinct sites, in fractional coordinates, are B at (0.000, 0.000, 0.000), Pb at (0.500, 0.500, 0.500), I at (0.000, 0.500, 0.000) and O at (0.000, 0.000, 0.500).

For the raw total energy, the calculation gives -3.950 eV per atom. For the formation energy from raw total energies, the calculation gives 10 meV/atom. Its crystal system is tetragonal.

(6)
An optimized crystal structure of ReBIO2, computed with GGA-PBEsol.

The structure belongs to space group P4/mmm (No. 123); the cell edges are 3.743, 3.743 and 6.080 Å and the angles 90.00°, 90.00° and 90.00°. The distinct sites, in fractional coordinates, are Re at (0.000, 0.000, 0.000), B at (0.500, 0.500, 0.500), I at (0.000, 0.000, 0.500) and O at (0.000, 0.500, 0.000).

For the raw total energy, the calculation gives -6.395 eV per atom. For the formation energy from raw total energies, the calculation gives 128 meV/atom. Its crystal system is tetragonal.

- Which of these has the highest formation energy from raw total energies?
  number 2